No. 1
Computed, not measured: a relaxed Pm3DyC8 crystal at the PBE-GGA level of DFT.

Values from the calculation:
- SG: I-42m, No. 121
- Total DFT energy (no corrections): -7.58 eV/atom
- Total magnetization: 0.00 μB per cell
- ΔH_f (0 K): 143 meV per atom

Lattice parameters (Å, degrees): 6.3691 6.3691 6.3691 111.17 111.17 106.12
Closest atoms and distances in Å follow each position.
Sites, in units of the cell vectors:
Pm 0.0000 0.0000 0.0000  8 C 2.58-2.68
Pm 0.2500 0.7500 0.5000  8 C 2.71-2.72
Pm 0.7500 0.2500 0.5000  8 C 2.71-2.72
Dy 0.5000 0.5000 0.0000  4 C 2.37
C 0.1063 0.1063 0.4687  1 C 1.29
C 0.1154 0.1154 0.6781  1 C 1.29
C 0.3625 0.8937 0.0000  1 C 1.29
C 0.4373 0.4373 0.3219  1 C 1.29
C 0.5627 0.8846 0.0000  1 C 1.29
C 0.6375 0.6375 0.5313  1 C 1.29
C 0.8846 0.5627 0.0000  1 C 1.29
C 0.8937 0.3625 0.0000  1 C 1.29

No. 2
Computed, not measured: a relaxed PmDy2C crystal at the PBE-GGA level of DFT.

Values from the calculation:
- SG: R3m, No. 160
- Total DFT energy (no corrections): -5.97 eV/atom
- Total magnetization: 0.57 μB per cell
- ΔH_f (0 K): -172 meV per atom
- Distance to the lowest polymorph of the same formula: 0 meV per atom

Lattice parameters (Å, degrees): 3.5902 3.5902 27.7235 90.00 90.00 120.00
Closest atoms and distances in Å follow each position.
Sites, in units of the cell vectors:
Pm 0.0000 0.0000 0.0000  6 Pm 3.59, 6 Dy 3.83-3.91
Pm 0.3333 0.6667 0.6667  6 Pm 3.59, 6 Dy 3.83-3.91
Pm 0.6667 0.3333 0.3333  6 Pm 3.59, 6 Dy 3.83-3.91
Dy 0.0000 0.0000 0.2172  3 C 2.47
Dy 0.0000 0.0000 0.4529  3 C 2.48
Dy 0.3333 0.6667 0.1195  3 C 2.48
Dy 0.3333 0.6667 0.8839  3 C 2.47
Dy 0.6667 0.3333 0.5505  3 C 2.47
Dy 0.6667 0.3333 0.7862  3 C 2.48
C 0.0000 0.0000 0.8352  6 Dy 2.47-2.48
C 0.3333 0.6667 0.5019  6 Dy 2.47-2.48
C 0.6667 0.3333 0.1686  6 Dy 2.47-2.48

No. 3
Computed, not measured: a relaxed Pm4Dy2C crystal at the PBE-GGA level of DFT.

Values from the calculation:
- SG: I4/mmm, No. 139
- Total DFT energy (no corrections): -5.14 eV/atom
- Total magnetization: 0.00 μB per cell
- ΔH_f (0 K): 206 meV per atom

Lattice parameters (Å, degrees): 5.0220 5.0220 17.6171 90.00 90.00 90.00
Closest atoms and distances in Å follow each position.
Sites, in units of the cell vectors:
Pm 0.0000 0.0000 0.1383  1 C 2.44
Pm 0.0000 0.0000 0.8617  1 C 2.44
Pm 0.0000 0.5000 0.0000  2 C 2.51
Pm 0.0000 0.5000 0.5000  2 C 2.51
Pm 0.5000 0.0000 0.0000  2 C 2.51
Pm 0.5000 0.0000 0.5000  2 C 2.51
Pm 0.5000 0.5000 0.3617  1 C 2.44
Pm 0.5000 0.5000 0.6383  1 C 2.44
Dy 0.0000 0.0000 0.3301  5 Pm 3.38-3.59
Dy 0.0000 0.0000 0.6699  5 Pm 3.38-3.59
Dy 0.5000 0.5000 0.1699  5 Pm 3.38-3.59
Dy 0.5000 0.5000 0.8301  5 Pm 3.38-3.59
C 0.0000 0.0000 0.0000  6 Pm 2.44-2.51
C 0.5000 0.5000 0.5000  6 Pm 2.44-2.51

No. 4
Computed, not measured: a relaxed Pm3DyC crystal at the PBE-GGA level of DFT.

Values from the calculation:
- SG: Pm-3m, No. 221
- Total DFT energy (no corrections): -5.54 eV/atom
- Total magnetization: 0.00 μB per cell
- ΔH_f (0 K): 77 meV per atom

Lattice parameters (Å, degrees): 5.1947 5.1947 5.1947 90.00 90.00 90.00
Closest atoms and distances in Å follow each position.
Sites, in units of the cell vectors:
Pm 0.0000 0.0000 0.5000  2 C 2.60
Pm 0.0000 0.5000 0.0000  2 C 2.60
Pm 0.5000 0.0000 0.0000  2 C 2.60
Dy 0.5000 0.5000 0.5000  12 Pm 3.67
C 0.0000 0.0000 0.0000  6 Pm 2.60

No. 5
Computed, not measured: a relaxed PmDy2C3 crystal at the PBE-GGA level of DFT.

Values from the calculation:
- SG: Imma, No. 74
- Total DFT energy (no corrections): -6.99 eV/atom
- Total magnetization: 0.00 μB per cell
- ΔH_f (0 K): -57 meV per atom

Lattice parameters (Å, degrees): 7.0372 7.0372 7.0372 132.06 84.37 115.36
Closest atoms and distances in Å follow each position.
Sites, in units of the cell vectors:
Pm 0.2878 0.0378 0.2500  6 C 2.60-2.71
Pm 0.7122 0.9622 0.7500  6 C 2.60-2.71
Dy 0.0898 0.6671 0.4227  4 C 2.38-2.64
Dy 0.2556 0.3329 0.9227  4 C 2.38-2.64
Dy 0.7444 0.6671 0.0773  4 C 2.38-2.64
Dy 0.9102 0.3329 0.5773  4 C 2.38-2.64
C 0.0000 0.0000 0.5000  4 Dy 2.38, 2 Pm 2.60
C 0.0000 0.1193 0.1193  1 C 1.36
C 0.0000 0.5000 0.0000  4 Dy 2.38, 2 Pm 2.60
C 0.0000 0.8807 0.8807  1 C 1.36
C 0.5000 0.1193 0.6193  1 C 1.36
C 0.5000 0.8807 0.3807  1 C 1.36

No. 6
Computed, not measured: a relaxed PmDy3C8 crystal at the PBE-GGA level of DFT.

Values from the calculation:
- SG: Cm, No. 8
- Total DFT energy (no corrections): -7.57 eV/atom
- Total magnetization: 0.00 μB per cell
- ΔH_f (0 K): 126 meV per atom

Lattice parameters (Å, degrees): 6.3618 6.3618 6.1804 114.67 114.67 100.80
Closest atoms and distances in Å follow each position.
Sites, in units of the cell vectors:
Pm 0.0000 0.0000 0.0000  8 C 2.62-2.69
Dy 0.2766 0.7764 0.5007  8 C 2.48-2.65
Dy 0.4927 0.4927 0.0007  8 C 2.49-2.66
Dy 0.7764 0.2766 0.5007  8 C 2.48-2.65
C 0.0817 0.4192 0.0009  1 C 1.31
C 0.1103 0.1103 0.5129  1 C 1.30
C 0.3738 0.8728 0.0013  1 C 1.31
C 0.4192 0.0817 0.0009  1 C 1.31
C 0.5624 0.5624 0.6641  1 C 1.30
C 0.5983 0.5983 0.4883  1 C 1.30
C 0.8728 0.3738 0.0013  1 C 1.31
C 0.8990 0.8990 0.3375  1 C 1.30

No. 7
Computed, not measured: a relaxed PmDy2C crystal at the PBE-GGA level of DFT.

Values from the calculation:
- SG: R-3m, No. 166
- Total DFT energy (no corrections): -5.89 eV/atom
- Total magnetization: 0.00 μB per cell
- ΔH_f (0 K): -94 meV per atom
- Distance to the lowest polymorph of the same formula: 78 meV per atom

Lattice parameters (Å, degrees): 3.5359 3.5359 29.4623 90.00 90.00 120.00
Closest atoms and distances in Å follow each position.
Sites, in units of the cell vectors:
Pm 0.0000 0.0000 0.0000  6 Pm 3.54, 2 Dy 3.56
Pm 0.3333 0.6667 0.6667  6 Pm 3.54, 2 Dy 3.56
Pm 0.6667 0.3333 0.3333  6 Pm 3.54, 2 Dy 3.56
Dy 0.0000 0.0000 0.1209  3 C 2.45
Dy 0.0000 0.0000 0.8791  3 C 2.45
Dy 0.3333 0.6667 0.5457  3 C 2.45
Dy 0.3333 0.6667 0.7876  3 C 2.45
Dy 0.6667 0.3333 0.2124  3 C 2.45
Dy 0.6667 0.3333 0.4543  3 C 2.45
C 0.0000 0.0000 0.5000  6 Dy 2.45
C 0.3333 0.6667 0.1667  6 Dy 2.45
C 0.6667 0.3333 0.8333  6 Dy 2.45

No. 8
Computed, not measured: a relaxed PmDyC4 crystal at the PBE-GGA level of DFT.

Values from the calculation:
- SG: C2/m, No. 12
- Total DFT energy (no corrections): -7.87 eV/atom
- Total magnetization: 0.00 μB per cell
- ΔH_f (0 K): -164 meV per atom

Lattice parameters (Å, degrees): 7.3650 3.7356 7.3036 90.00 118.60 90.00
Closest atoms and distances in Å follow each position.
Sites, in units of the cell vectors:
Pm 0.0000 0.0000 0.0000  10 C 2.55-2.76
Pm 0.5000 0.5000 0.0000  10 C 2.55-2.76
Dy 0.0000 0.5000 0.5000  10 C 2.46-2.71
Dy 0.5000 0.0000 0.5000  10 C 2.46-2.71
C 0.1950 0.0000 0.7909  1 C 1.30
C 0.2005 0.5000 0.3108  1 C 1.30
C 0.2995 0.0000 0.6892  1 C 1.30
C 0.3050 0.5000 0.2091  1 C 1.30
C 0.6950 0.5000 0.7909  1 C 1.30
C 0.7005 0.0000 0.3108  1 C 1.30
C 0.7995 0.5000 0.6892  1 C 1.30
C 0.8050 0.0000 0.2091  1 C 1.30

No. 9
Computed, not measured: a relaxed PmDyCS crystal at the PBE-GGA level of DFT.

Values from the calculation:
- E_form (uncorrected): -1.01 eV/atom
- SG: P4/mmm, No. 123
- Total DFT energy (no corrections): -6.68 eV/atom
- Total magnetization: 0.00 μB per cell

Lattice parameters (Å, degrees): 3.8613 3.8613 5.3666 90.00 90.00 90.00
Closest atoms and distances in Å follow each position.
Sites, in units of the cell vectors:
Pm 0.0000 0.0000 0.0000  2 C 2.68, 4 S 2.73
Dy 0.5000 0.5000 0.5000  2 S 2.68, 4 C 2.73
C 0.0000 0.0000 0.5000  2 Pm 2.68, 4 Dy 2.73
S 0.5000 0.5000 0.0000  2 Dy 2.68, 4 Pm 2.73

No. 10
Computed, not measured: a relaxed PmDyCSe crystal at the PBE-GGA level of DFT.

Values from the calculation:
- E_form (uncorrected): -1.05 eV/atom
- SG: R3m, No. 160
- Total DFT energy (no corrections): -6.57 eV/atom
- Total magnetization: 0.00 μB per cell

Lattice parameters (Å, degrees): 3.7937 3.7937 20.5285 90.00 90.00 120.00
Closest atoms and distances in Å follow each position.
Sites, in units of the cell vectors:
Pm 0.0000 0.0000 0.0000  3 C 2.61
Pm 0.3333 0.6667 0.6667  3 C 2.61
Pm 0.6667 0.3333 0.3333  3 C 2.61
Dy 0.0000 0.0000 0.1992  3 C 2.57
Dy 0.3333 0.6667 0.8658  3 C 2.57
Dy 0.6667 0.3333 0.5325  3 C 2.57
C 0.0000 0.0000 0.5977  3 Dy 2.57, 3 Pm 2.61
C 0.3333 0.6667 0.2644  3 Dy 2.57, 3 Pm 2.61
C 0.6667 0.3333 0.9310  3 Dy 2.57, 3 Pm 2.61
Se 0.0000 0.0000 0.7708  3 Dy 2.93, 3 Pm 3.06
Se 0.3333 0.6667 0.4374  3 Dy 2.93, 3 Pm 3.06
Se 0.6667 0.3333 0.1041  3 Dy 2.93, 3 Pm 3.06

No. 11
Computed, not measured: a relaxed Pm2DySnC crystal at the PBE-GGA level of DFT.

Values from the calculation:
- SG: P4/mmm, No. 123
- Total DFT energy (no corrections): -6.01 eV/atom
- Total magnetization: 0.00 μB per cell
- ΔH_f (0 K): -545 meV per atom

Lattice parameters (Å, degrees): 5.0613 5.0613 4.9050 90.00 90.00 90.00
Closest atoms and distances in Å follow each position.
Sites, in units of the cell vectors:
Pm 0.0000 0.5000 0.0000  2 C 2.53
Pm 0.5000 0.0000 0.0000  2 C 2.53
Dy 0.0000 0.0000 0.5000  2 C 2.45
Sn 0.5000 0.5000 0.5000  8 Pm 3.52, 4 Dy 3.58
C 0.0000 0.0000 0.0000  2 Dy 2.45, 4 Pm 2.53

No. 12
Computed, not measured: a relaxed Pm2DyTlC crystal at the PBE-GGA level of DFT.

Values from the calculation:
- SG: P4/mmm, No. 123
- Total DFT energy (no corrections): -5.50 eV/atom
- Total magnetization: 0.00 μB per cell
- ΔH_f (0 K): -358 meV per atom

Lattice parameters (Å, degrees): 5.0920 5.0920 4.9296 90.00 90.00 90.00
Closest atoms and distances in Å follow each position.
Sites, in units of the cell vectors:
Pm 0.0000 0.5000 0.0000  2 C 2.55
Pm 0.5000 0.0000 0.0000  2 C 2.55
Dy 0.0000 0.0000 0.5000  2 C 2.46
Tl 0.5000 0.5000 0.5000  8 Pm 3.54, 4 Dy 3.60
C 0.0000 0.0000 0.0000  2 Dy 2.46, 4 Pm 2.55

total magnetization of number 9 (PmDyCS)?
0.00 μB per cell

Which formula does entry 12 have?
Pm2DyTlC